[1]
Er5CoCu4 | PBE | relaxed

a b c (Å): 3.3909 3.3909 17.2804
angles (deg): 90.00 90.00 90.00
Space group P4/mmm (No. 123)
One atom of each set of equivalent atoms:
1 Er 0.0000 0.0000 0.0000
2 Er 0.0000 0.0000 0.2028
3 Er 0.0000 0.0000 0.4060
4 Co 0.5000 0.5000 0.5000
5 Cu 0.5000 0.5000 0.1005
6 Cu 0.5000 0.5000 0.3034

Output
The calculation puts the calculated total energy at -4.8940 eV per atom. The density of states at the Fermi level is 4.909 states/eV/f.u. For the formation energy, the calculation gives -263 meV per atom.

[2]
Er2Co2Cu | PBE | relaxed

a b c (Å): 9.1971 5.1923 7.5201
angles (deg): 90.00 105.13 90.00
Space group C2/c (No. 15)
One atom of each set of equivalent atoms:
1 Er 0.1461 0.1502 0.1471
2 Co 0.1409 0.3545 0.5040
3 Cu 0.0000 0.3522 0.7500

Output
The calculation puts the calculated total energy at -5.7123 eV per atom. The density of states at the Fermi level is 4.389 states/eV/f.u. For the formation energy, the calculation gives -226 meV per atom.

The highest calculated total energy belongs to which entry?
Er5CoCu4

calculated total energy of number 1 (Er5CoCu4)?
-4.8940 eV per atom

Number 2 is which compound?
Er2Co2Cu

Among the records above, which one has the highest calculated total energy?
Er5CoCu4